Material: KBiOs3
Method: DFT, PBEsol
State: relaxed

Cell lengths 4.6263, 4.6263, 4.6263 Å; angles 90.00, 90.00, 90.00 degrees
With the nearest neighbours (Å) after each atom.
Atoms (fractional coordinates):
1 Os 0.5000 0.0000 0.0000  2 K 2.31
2 Os 0.0000 0.0000 0.5000  2 K 2.31
3 K 0.0000 0.0000 0.0000  6 Os 2.31
4 Bi 0.5000 0.5000 0.5000  12 Os 3.27
5 Os 0.0000 0.5000 0.0000  2 K 2.31

Values from the calculation:
mass density = 13.7 g/cm³
energy = -4.82 eV per atom
size of the total moment = 0.0 μB per formula unit
N(E_F) = 1.670 states/eV/atom
V = 19.803 A^3/atom
energy of formation from the pure elements = 3.588 eV/atom

=====

Material: FePt2Au
Method: DFT, PBEsol
State: relaxed

Cell lengths 4.3920, 4.3920, 4.3920 Å; angles 60.00, 60.00, 60.00 degrees
With the nearest neighbours (Å) after each atom.
Atoms (fractional coordinates):
1 Pt 0.7500 0.7500 0.7500  4 Fe 2.69, 4 Au 2.69
2 Au 0.0000 0.0000 0.0000  8 Pt 2.69
3 Fe 0.5000 0.5000 0.5000  8 Pt 2.69
4 Pt 0.2500 0.2500 0.2500  4 Au 2.69, 4 Fe 2.69

Values from the calculation:
mass density = 17.8 g/cm³
energy = -6.64 eV per atom
size of the total moment = 3.8 μB per formula unit
N(E_F) = 0.730 states/eV/atom
V = 14.977 A^3/atom
energy above the lowest structure with this stoichiometry = 174.3 meV/atom
energy of formation from the pure elements = 0.067 eV/atom

=====

Material: GaFeSb3
Method: DFT, PBEsol
State: relaxed

Cell lengths 5.1554, 5.1554, 5.1554 Å; angles 90.00, 90.00, 90.00 degrees
With the nearest neighbours (Å) after each atom.
Atoms (fractional coordinates):
1 Fe 0.5000 0.5000 0.5000  12 Sb 3.65
2 Sb 0.5000 0.0000 0.0000  2 Ga 2.58
3 Sb 0.0000 0.0000 0.5000  2 Ga 2.58
4 Ga 0.0000 0.0000 0.0000  6 Sb 2.58
5 Sb 0.0000 0.5000 0.0000  2 Ga 2.58

Values from the calculation:
mass density = 5.9 g/cm³
energy = -4.04 eV per atom
size of the total moment = 3.2 μB per formula unit
N(E_F) = 1.400 states/eV/atom
V = 27.404 A^3/atom

=====

Material: LiTiPH2
Method: DFT, PBEsol
State: relaxed

Cell lengths 3.6897, 3.6897, 4.8241 Å; angles 90.00, 90.00, 90.00 degrees
With the nearest neighbours (Å) after each atom.
Atoms (fractional coordinates):
1 H 0.5000 0.0000 0.0000  2 P 1.84
2 P 0.0000 0.0000 0.0000  4 H 1.84
3 Li 0.5000 0.5000 0.5000  4 Ti 2.61
4 H 0.0000 0.5000 0.0000  2 P 1.84
5 Ti 0.0000 0.0000 0.5000  2 P 2.41, 4 Li 2.61

Values from the calculation:
mass density = 2.2 g/cm³
energy = -3.95 eV per atom
size of the total moment = 2.0 μB per formula unit
N(E_F) = 0.500 states/eV/atom
V = 13.135 A^3/atom

=====

Among the records above, which one has the highest mass density?
FePt2Au